{"formula": "CdBiMo2O8", "functional": "PBE with a Hubbard U", "state": "relaxed", "total_magnetization_mub_per_fu": 1.00, "spacegroup": "I-4m2 (119)", "energy_ev_per_atom": -6.2651, "cell": [[-2.2862, 2.5673, 5.2322], [-4.0418, -3.6894, -3.0407], [4.8572, -3.5772, 1.6746]], "species": ["O", "O", "O", "O", "O", "O", "O", "O", "Mo", "Mo", "Cd", "Bi"], "fractional_positions": [[0.9215, 0.6153, 0.6938], [0.3339, 0.5230, 0.1891], [0.3339, 0.1448, 0.8109], [0.3847, 0.0785, 0.3062], [0.7722, 0.0785, 0.6938], [0.9215, 0.2278, 0.3062], [0.4770, 0.6661, 0.8109], [0.8552, 0.6661, 0.1891], [0.7500, 0.2500, 0.5000], [0.5000, 0.5000, 0.0000], [0.2500, 0.7500, 0.5000], [0.0000, 0.0000, 0.0000]]}